No. 1
This record from Alexandria via LeMat-Bulk describes a geometry-optimized Y8Tm2Sc3 structure. The functional is GGA-PBE.

a b c (Å): 10.423 10.423 5.538
angles (deg): 90.02 90.02 42.49
Fractional positions:
Y 0.108 0.689 0.000
Y 0.168 0.168 0.500
Y 0.311 0.892 0.000
Y 0.373 0.373 0.500
Y 0.627 0.627 0.500
Y 0.689 0.108 0.000
Y 0.832 0.832 0.500
Y 0.892 0.311 0.000
Tm 0.261 0.261 0.001
Tm 0.739 0.739 0.999
Sc 0.208 0.792 0.500
Sc 0.500 0.500 0.000
Sc 0.792 0.208 0.500

Summary:
**E above lowest polymorph**: 0.00 eV/f.u.
**N(E_F)**: 21.74 states/eV/cell
**Formation energy**: 0.233 eV/atom
**M_tot**: 0.00 μB/f.u.

=====

No. 2
This record from Alexandria via LeMat-Bulk describes a geometry-optimized SrNp2SiO8 structure. The functional is GGA-PBE.

a b c (Å): 4.862 4.862 6.821
angles (deg): 90.00 90.00 93.58
Fractional positions:
Sr 0.000 0.000 0.000
Np 0.500 0.500 0.266
Np 0.500 0.500 0.734
Si 0.000 0.000 0.500
O 0.189 0.189 0.311
O 0.189 0.189 0.689
O 0.276 0.724 0.500
O 0.331 0.669 0.000
O 0.669 0.331 0.000
O 0.724 0.276 0.500
O 0.811 0.811 0.311
O 0.811 0.811 0.689

Summary:
**N(E_F)**: 4.15 states/eV/cell
**Formation energy from raw total energies**: -2.731 eV/atom
**M_tot**: 4.00 μB/f.u.

=====

No. 3
This record from Alexandria via LeMat-Bulk describes a geometry-optimized ReOs2W structure. The functional is GGA-PBE.

a b c (Å): 3.912 3.912 3.907
angles (deg): 90.00 90.00 90.00
Fractional positions:
Re 0.000 0.000 0.000
Os 0.000 0.500 0.500
Os 0.500 0.000 0.500
W 0.500 0.500 0.000

Summary:
**E above lowest polymorph**: 0.19 eV/f.u.
**N(E_F)**: 4.49 states/eV/cell
**Formation energy**: 0.036 eV/atom
**M_tot**: 0.00 μB/f.u.

=====

No. 4
This record from Alexandria via LeMat-Bulk describes a geometry-optimized LiTa2Pt structure. The functional is GGA-PBE.

a b c (Å): 9.857 9.857 9.857
angles (deg): 16.57 16.57 16.57
Fractional positions:
Li 0.000 0.000 0.000
Ta 0.513 0.513 0.513
Ta 0.757 0.757 0.757
Pt 0.258 0.258 0.258

Summary:
**N(E_F)**: 4.73 states/eV/cell
**Formation energy**: -0.059 eV/atom
**M_tot**: 0.00 μB/f.u.

=====

No. 5
This record from Alexandria via LeMat-Bulk describes a geometry-optimized RbBiBrCl2 structure. The functional is GGA-PBE.

a b c (Å): 5.654 5.654 5.975
angles (deg): 90.00 90.00 90.00
Fractional positions:
Rb 0.000 0.000 0.000
Bi 0.500 0.500 0.500
Br 0.500 0.500 0.000
Cl 0.000 0.500 0.500
Cl 0.500 0.000 0.500

Summary:
**N(E_F)**: 1.02 states/eV/cell
**Formation energy from raw total energies**: -1.105 eV/atom
**M_tot**: 0.00 μB/f.u.

=====

No. 6
This record from Alexandria via LeMat-Bulk describes a geometry-optimized Sr3In3Ga structure. The functional is GGA-PBE.

a b c (Å): 6.578 6.578 16.711
angles (deg): 107.86 107.86 41.82
Fractional positions:
Sr 0.024 0.024 0.385
Sr 0.108 0.108 0.921
Sr 0.244 0.244 0.235
Sr 0.756 0.756 0.765
Sr 0.892 0.892 0.079
Sr 0.976 0.976 0.615
In 0.347 0.347 0.464
In 0.390 0.390 0.922
In 0.469 0.469 0.765
In 0.531 0.531 0.235
In 0.610 0.610 0.078
In 0.653 0.653 0.536
Ga 0.270 0.270 0.614
Ga 0.730 0.730 0.386

Summary:
**N(E_F)**: 9.36 states/eV/cell
**Formation energy**: -0.434 eV/atom
**M_tot**: 0.00 μB/f.u.

=====

No. 7
This record from Alexandria via LeMat-Bulk describes a geometry-optimized YGaIr2 structure. The functional is GGA-PBE.

a b c (Å): 5.634 7.303 8.526
angles (deg): 90.00 90.00 90.00
Fractional positions:
Y 0.250 0.000 0.173
Y 0.250 0.500 0.284
Y 0.750 0.000 0.827
Y 0.750 0.500 0.716
Ga 0.250 0.000 0.756
Ga 0.250 0.500 0.770
Ga 0.750 0.000 0.244
Ga 0.750 0.500 0.230
Ir 0.000 0.000 0.500
Ir 0.000 0.500 0.000
Ir 0.250 0.298 0.543
Ir 0.250 0.702 0.543
Ir 0.500 0.000 0.500
Ir 0.500 0.500 0.000
Ir 0.750 0.298 0.457
Ir 0.750 0.702 0.457

Summary:
**N(E_F)**: 13.14 states/eV/cell
**Formation energy**: -0.062 eV/atom
**M_tot**: 0.04 μB/f.u.

=====

No. 8
This record from Alexandria via LeMat-Bulk describes a geometry-optimized PuNpCo10 structure. The functional is GGA-PBE.

a b c (Å): 3.974 4.846 8.400
angles (deg): 90.00 90.00 90.00
Fractional positions:
Pu 0.000 0.000 0.000
Np 0.000 0.500 0.500
Co 0.000 0.000 0.341
Co 0.000 0.000 0.659
Co 0.000 0.500 0.178
Co 0.000 0.500 0.822
Co 0.500 0.000 0.500
Co 0.500 0.247 0.249
Co 0.500 0.247 0.751
Co 0.500 0.500 0.000
Co 0.500 0.753 0.249
Co 0.500 0.753 0.751

Summary:
**N(E_F)**: 22.48 states/eV/cell
**Formation energy**: -0.049 eV/atom
**M_tot**: 4.65 μB/f.u.